# 1
A plane-wave DFT calculation with PBE was carried out for crystalline Pr2HfMn2N6 at its relaxed geometry.

The value obtained for the total energy is -8.788 eV/atom. The calculation puts the density at 7.0 g cm⁻³. The uncorrected formation energy comes out at -0.806 eV/atom.

The structure belongs to space group R-3m (No. 166, hexagonal axes); the cell edges are 5.7452, 5.7452 and 16.2354 Å and the angles 90.00°, 90.00° and 120.00°. The distinct sites, in fractional coordinates, are Pr at (0.0000, 0.0000, 0.2175), Hf at (0.0000, 0.0000, 0.0000), Mn at (0.0000, 0.0000, 0.4392) and N at (0.0081, 0.5041, 0.7524).

---

# 2
A plane-wave DFT calculation with PBE was carried out for crystalline PuHf2MnN4 at its relaxed geometry.

The value obtained for the total energy is -10.903 eV/atom. The calculation puts the density at 12.2 g cm⁻³. The uncorrected formation energy comes out at -1.314 eV/atom.

The structure belongs to space group Cmcm (No. 63); the cell edges are 3.185, 10.966 and 11.058 Å and the angles 90.00°, 90.00° and 90.00°. The distinct sites, in fractional coordinates, are Pu at (0.000, 0.105, 0.250), Hf at (0.000, 0.369, 0.050), Mn at (0.000, 0.158, 0.750), N at (0.000, 0.000, 0.000), N at (0.000, 0.269, 0.615) and N at (0.000, 0.444, 0.250).

---

# 3
A plane-wave DFT calculation with PBE was carried out for crystalline Hf2MnRhN at its relaxed geometry.

The value obtained for the total energy is -9.865 eV/atom. The calculation puts the density at 12.1 g cm⁻³. The uncorrected formation energy comes out at -0.915 eV/atom.

The structure belongs to space group P4/mmm (No. 123); the cell edges are 4.458, 4.458 and 3.643 Å and the angles 90.00°, 90.00° and 90.00°. The distinct sites, in fractional coordinates, are Hf at (0.000, 0.500, 0.000), Mn at (0.000, 0.000, 0.500), Rh at (0.500, 0.500, 0.500) and N at (0.000, 0.000, 0.000).

---

# 4
A plane-wave DFT calculation with PBE was carried out for crystalline Hf3Sc3MnN8 at its relaxed geometry.

The value obtained for the total energy is -9.864 eV/atom. The calculation puts the density at 7.8 g cm⁻³. The uncorrected formation energy comes out at -1.555 eV/atom.

The structure belongs to space group R-3m (No. 166, hexagonal axes); the cell edges are 6.2916, 6.2916 and 15.5133 Å and the angles 90.00°, 90.00° and 120.00°. The distinct sites, in fractional coordinates, are Hf at (0.0000, 0.5000, 0.0000), Sc at (0.0000, 0.5000, 0.5000), Mn at (0.0000, 0.0000, 0.0000), N at (0.0000, 0.0000, 0.2514) and N at (0.0186, 0.5093, 0.7427).

---

# 5
A plane-wave DFT calculation with PBE was carried out for crystalline Hf2ScMnN at its relaxed geometry.

The value obtained for the total energy is -9.238 eV/atom. The calculation puts the density at 9.9 g cm⁻³. The uncorrected formation energy comes out at -0.491 eV/atom.

The structure belongs to space group P4/mmm (No. 123); the cell edges are 4.604, 4.604 and 3.729 Å and the angles 90.00°, 90.00° and 90.00°. The distinct sites, in fractional coordinates, are Hf at (0.000, 0.500, 0.000), Sc at (0.000, 0.000, 0.500), Mn at (0.500, 0.500, 0.500) and N at (0.500, 0.500, 0.000).

---

# 6
A plane-wave DFT calculation with PBE was carried out for crystalline HfScMnN2 at its relaxed geometry.

The value obtained for the total energy is -7.562 eV/atom. The calculation puts the density at 6.7 g cm⁻³. The uncorrected formation energy comes out at 0.859 eV/atom.

The structure belongs to space group P4/mmm (No. 123); the cell edges are 4.112, 4.112 and 4.505 Å and the angles 90.00°, 90.00° and 90.00°. The distinct sites, in fractional coordinates, are Hf at (0.000, 0.000, 0.000), Sc at (0.500, 0.500, 0.500), Mn at (0.500, 0.500, 0.000) and N at (0.000, 0.500, 0.500).

---

# 7
A plane-wave DFT calculation with PBE was carried out for crystalline HfMnSe2N at its relaxed geometry.

The value obtained for the total energy is -6.913 eV/atom. The calculation puts the density at 6.0 g cm⁻³. The uncorrected formation energy comes out at -0.030 eV/atom. The value obtained for the energy above the most stable polymorph in this dataset is 6.2 kJ per mole of atoms.

The structure belongs to space group P4/mmm (No. 123); the cell edges are 5.270, 5.270 and 4.021 Å and the angles 90.00°, 90.00° and 90.00°. The distinct sites, in fractional coordinates, are Hf at (0.000, 0.000, 0.000), Mn at (0.500, 0.500, 0.500), Se at (0.000, 0.500, 0.000) and N at (0.000, 0.000, 0.500).

---

# 8
A plane-wave DFT calculation with PBE was carried out for crystalline HfMnSe2N at its relaxed geometry.

The value obtained for the total energy is -6.977 eV/atom. The calculation puts the density at 8.0 g cm⁻³. The uncorrected formation energy comes out at -0.094 eV/atom. The value obtained for the energy above the most stable polymorph in this dataset is 0.0 kJ per mole of atoms.

The structure belongs to space group P4/mmm (No. 123); the cell edges are 4.918, 4.918 and 3.475 Å and the angles 90.00°, 90.00° and 90.00°. The distinct sites, in fractional coordinates, are Hf at (0.000, 0.000, 0.000), Mn at (0.500, 0.500, 0.500), Se at (0.000, 0.500, 0.500) and N at (0.500, 0.500, 0.000).

---

# 9
A plane-wave DFT calculation with PBE was carried out for crystalline SrHfMnN3 at its relaxed geometry.

The value obtained for the total energy is -8.636 eV/atom. The calculation puts the density at 6.8 g cm⁻³. The uncorrected formation energy comes out at -1.006 eV/atom.

The structure belongs to space group P2_1/m (No. 11); the cell edges are 7.178, 3.331 and 7.682 Å and the angles 90.00°, 104.84° and 90.00°. The distinct sites, in fractional coordinates, are Sr at (0.191, 0.250, 0.202), Hf at (0.348, 0.750, 0.856), Mn at (0.080, 0.250, 0.602), N at (0.132, 0.250, 0.852), N at (0.175, 0.750, 0.546) and N at (0.447, 0.750, 0.140).

---

# 10
A plane-wave DFT calculation with PBE was carried out for crystalline SrHf2MnN4 at its relaxed geometry.

The value obtained for the total energy is -9.254 eV/atom. The calculation puts the density at 9.0 g cm⁻³. The uncorrected formation energy comes out at -1.246 eV/atom.

The structure belongs to space group Cmcm (No. 63); the cell edges are 3.250, 11.157 and 11.253 Å and the angles 90.00°, 90.00° and 90.00°. The distinct sites, in fractional coordinates, are Sr at (0.000, 0.100, 0.250), Hf at (0.000, 0.366, 0.045), Mn at (0.000, 0.168, 0.750), N at (0.000, 0.000, 0.000), N at (0.000, 0.259, 0.609) and N at (0.000, 0.412, 0.250).

---

# 11
A plane-wave DFT calculation with PBE was carried out for crystalline Hf2MnTcN at its relaxed geometry.

The value obtained for the total energy is -10.277 eV/atom. The calculation puts the density at 11.9 g cm⁻³. The uncorrected formation energy comes out at -0.724 eV/atom.

The structure belongs to space group P4/mmm (No. 123); the cell edges are 4.545, 4.545 and 3.537 Å and the angles 90.00°, 90.00° and 90.00°. The distinct sites, in fractional coordinates, are Hf at (0.000, 0.500, 0.000), Mn at (0.000, 0.000, 0.500), Tc at (0.500, 0.500, 0.500) and N at (0.000, 0.000, 0.000).

---

# 12
A plane-wave DFT calculation with PBE was carried out for crystalline Hf2MnTeN at its relaxed geometry.

The value obtained for the total energy is -6.994 eV/atom. The calculation puts the density at 8.8 g cm⁻³. The uncorrected formation energy comes out at 1.114 eV/atom.

The structure belongs to space group P4/mmm (No. 123); the cell edges are 4.785, 4.785 and 4.539 Å and the angles 90.00°, 90.00° and 90.00°. The distinct sites, in fractional coordinates, are Hf at (0.000, 0.500, 0.000), Mn at (0.000, 0.000, 0.000), Te at (0.000, 0.000, 0.500) and N at (0.500, 0.500, 0.500).